1.
The following is a DFT calculation (GGA-PBEsol) of crystalline CrCdTc2O at its relaxed geometry.

abc: 4.2705 4.2705 5.0040
angles: 90.00 90.00 90.00
Last column: nearest neighbours and their distance in Å.
Fractional coordinates of all 5 atoms:
Cr  0.0000  0.0000  0.0000  4 Tc 2.14
Cd  0.0000  0.0000  0.5000  2 Cr 2.50
Tc  0.0000  0.5000  0.0000  2 Cr 2.14
Tc  0.5000  0.0000  0.0000  2 Cr 2.14
O  0.5000  0.5000  0.5000  4 Cd 3.02, 8 Tc 3.29

## Properties
Its magnetization is 0.561 μB per atom. The value obtained for the calculated density is 6.85 g cm⁻³. The value obtained for the total energy is -6.16 eV per atom. Its raw formation energy is 813 kJ/mol of formula units. As for the volume: 18.252 Å³/atom.



2.
The following is a DFT calculation (GGA-PBEsol) of crystalline Cr2CdOs at its relaxed geometry.

abc: 4.5343 4.5343 4.5343
angles: 128.12 128.12 76.43
Last column: nearest neighbours and their distance in Å.
Fractional coordinates of all 4 atoms:
Cr  0.2500  0.7500  0.5000  4 Cd 2.67, 4 Os 2.67, 4 Cr 2.80
Cr  0.7500  0.2500  0.5000  4 Cd 2.67, 4 Os 2.67, 4 Cr 2.80
Cd  0.0000  0.0000  0.0000  8 Cr 2.67, 4 Os 2.80
Os  0.5000  0.5000  0.0000  8 Cr 2.67, 4 Cd 2.80

## Properties
Its magnetization is 0.790 μB per atom. Its formation energy is 0.6164 eV/atom. The value obtained for the calculated density is 12.05 g cm⁻³. The value obtained for the total energy is -7.86 eV per atom. As for the volume: 14.014 Å³/atom.



3.
The following is a DFT calculation (GGA-PBEsol) of crystalline Cr2CdOs at its relaxed geometry.

abc: 3.8357 3.8357 3.7296
angles: 90.00 90.00 90.00
Last column: nearest neighbours and their distance in Å.
Fractional coordinates of all 4 atoms:
Cr  0.0000  0.5000  0.0000  4 Os 2.67, 4 Cd 2.67, 4 Cr 2.71
Cr  0.5000  0.0000  0.0000  4 Os 2.67, 4 Cd 2.67, 4 Cr 2.71
Cd  0.0000  0.0000  0.5000  8 Cr 2.67, 4 Os 2.71
Os  0.5000  0.5000  0.5000  8 Cr 2.67, 4 Cd 2.71

## Properties
Its magnetization is 0.276 μB per atom. Its formation energy is 0.6620 eV/atom. The value obtained for the calculated density is 12.31 g cm⁻³. The value obtained for the total energy is -7.81 eV per atom. As for the volume: 13.718 Å³/atom.



4.
The following is a DFT calculation (GGA-PBEsol) of crystalline CrCd2Os at its relaxed geometry.

abc: 5.4841 5.4841 2.7818
angles: 102.08 102.08 120.46
Last column: nearest neighbours and their distance in Å.
Fractional coordinates of all 4 atoms:
Cr  0.0000  0.0000  0.0000  4 Os 2.72-2.96, 2 Cr 2.78, 4 Cd 2.80
Cd  0.0000  0.5000  0.5000  6 Cd 2.72-2.96, 2 Cr 2.80, 2 Os 2.80
Cd  0.5000  0.0000  0.5000  6 Cd 2.72-2.96, 2 Cr 2.80, 2 Os 2.80
Os  0.5000  0.5000  0.0000  4 Cr 2.72-2.96, 2 Os 2.78, 4 Cd 2.80

## Properties
Its magnetization is 0.746 μB per atom. Its formation energy is 0.6590 eV/atom. The value obtained for the calculated density is 11.86 g cm⁻³. The value obtained for the total energy is -5.55 eV per atom. As for the volume: 16.349 Å³/atom.